Y2TaSi: optimized geometry, PBE.

The calculation puts the calculated volume at 22.20 Å³/atom. The calculation puts the uncorrected formation energy at 0.07 eV per atom. The density of states at the Fermi level is 3.82 states/eV/f.u.

The structure belongs to space group C2/m (No. 12); the cell edges are 8.811, 6.379 and 3.160 Å and the angles 90.00°, 90.08° and 90.00°. The distinct sites, in fractional coordinates, are Y at (0.250, 0.250, 0.000), Ta at (0.000, 0.000, 0.500) and Si at (0.000, 0.500, 0.500).

BAsPdSe2: optimized geometry, PBE.

The calculation puts the calculated volume at 24.35 Å³/atom. The calculation puts the uncorrected formation energy at 1.30 eV per atom. The density of states at the Fermi level is 4.68 states/eV/f.u.

The structure belongs to space group P4/mmm (No. 123); the cell edges are 5.113, 5.113 and 4.656 Å and the angles 90.00°, 90.00° and 90.00°. The distinct sites, in fractional coordinates, are B at (0.000, 0.000, 0.000), As at (0.500, 0.500, 0.000), Pd at (0.500, 0.500, 0.500) and Se at (0.000, 0.500, 0.500).

ZrP2Ru: optimized geometry, PBE.

The value obtained for the formation energy is -0.342 eV per atom. The calculation puts the calculated volume at 17.94 Å³/atom. The density of states at the Fermi level is 2.18 states/eV/f.u.

The structure belongs to space group P4mm (No. 99); the cell edges are 2.978, 2.978 and 8.092 Å and the angles 90.00°, 90.00° and 90.00°. The distinct sites, in fractional coordinates, are Zr at (0.000, 0.000, 0.000), P at (0.000, 0.000, 0.597), P at (0.500, 0.500, 0.227) and Ru at (0.500, 0.500, 0.738).

PuZr4Bi2: optimized geometry, PBE.

The value obtained for the formation energy is 0.021 eV per atom. The calculation puts the calculated volume at 25.54 Å³/atom. The density of states at the Fermi level is 8.82 states/eV/f.u.

The structure belongs to space group C2/m (No. 12); the cell edges are 13.053, 10.172 and 6.083 Å and the angles 90.00°, 117.71° and 90.00°. The distinct sites, in fractional coordinates, are Pu at (0.024, 0.000, 0.273), Zr at (0.115, 0.255, 0.865), Zr at (0.231, 0.000, 0.211), Zr at (0.231, 0.000, 0.750), Bi at (0.000, 0.500, 0.000), Bi at (0.000, 0.500, 0.500) and Bi at (0.250, 0.250, 0.500).

PaTl3Cd2Se6: optimized geometry, PBE.

The calculation puts the calculated volume at 28.50 Å³/atom. The calculation puts the uncorrected formation energy at -0.75 eV per atom.

The structure belongs to space group C2/m (No. 12); the cell edges are 7.089, 12.340 and 8.158 Å and the angles 90.00°, 106.56° and 90.00°. The distinct sites, in fractional coordinates, are Pa at (0.000, 0.000, 0.000), Tl at (0.000, 0.168, 0.500), Tl at (0.000, 0.500, 0.500), Cd at (0.000, 0.334, 0.000), Se at (0.232, 0.161, 0.205) and Se at (0.248, 0.500, 0.211).

Tm2GeS4: optimized geometry, PBE.

The calculation puts the calculated volume at 31.05 Å³/atom. The calculation puts the uncorrected formation energy at -1.23 eV per atom. The density of states at the Fermi level is 0.00 states/eV/f.u.

The structure belongs to space group I-42m (No. 121); the cell edges are 6.005, 6.005 and 12.058 Å and the angles 90.00°, 90.00° and 90.00°. The distinct sites, in fractional coordinates, are Tm at (0.000, 0.500, 0.250), Ge at (0.000, 0.000, 0.000) and S at (0.247, 0.247, 0.128).